# 1
{"formula": "YHo3Er6", "functional": "GGA-PBE", "state": "optimized geometry", "lattice": [[5.453, -9.404, 0.000], [5.453, 9.404, 0.000], [0.000, 0.000, 6.141]], "species": ["Y", "Y", "Ho", "Ho", "Ho", "Ho", "Ho", "Ho", "Er", "Er", "Er", "Er", "Er", "Er", "Er", "Er", "Er", "Er", "Er", "Er"], "frac_coords": [[0.206, 0.794, 0.500], [0.794, 0.206, 0.000], [0.062, 0.280, 0.685], [0.280, 0.062, 0.185], [0.391, 0.609, 0.575], [0.609, 0.391, 0.075], [0.720, 0.938, 0.685], [0.938, 0.720, 0.185], [0.042, 0.463, 0.287], [0.046, 0.954, 0.730], [0.283, 0.717, 0.003], [0.288, 0.382, 0.112], [0.382, 0.288, 0.612], [0.463, 0.042, 0.787], [0.537, 0.958, 0.287], [0.618, 0.712, 0.112], [0.712, 0.618, 0.612], [0.717, 0.283, 0.503], [0.954, 0.046, 0.230], [0.958, 0.537, 0.787]], "sg": "Cmc2_1, No. 36", "volume_a3_per_cell": 630, "crystal_system": "orthorhombic", "formation_enthalpy_0k_mev_per_atom": 156, "e_tot_ev_per_atom": -4.60, "dos_at_fermi_per_ev_fu": 15.05, "polymorph_energy_ev_per_fu": 0.318}

# 2
{"formula": "Y2HoEr4", "functional": "GGA-PBE", "state": "optimized geometry", "lattice": [[6.233, 0.000, 0.000], [0.000, 6.432, 0.000], [-3.075, 0.000, 10.967]], "species": ["Y", "Y", "Y", "Y", "Ho", "Ho", "Er", "Er", "Er", "Er", "Er", "Er", "Er", "Er"], "frac_coords": [[0.117, 0.250, 0.002], [0.371, 0.750, 0.570], [0.629, 0.250, 0.430], [0.883, 0.750, 0.998], [0.488, 0.750, 0.159], [0.512, 0.250, 0.841], [0.133, 0.501, 0.287], [0.133, 0.999, 0.287], [0.192, 0.250, 0.558], [0.331, 0.750, 0.856], [0.669, 0.250, 0.144], [0.808, 0.750, 0.442], [0.867, 0.001, 0.713], [0.867, 0.499, 0.713]], "sg": "P2_1/m, No. 11", "volume_a3_per_cell": 440, "crystal_system": "monoclinic", "formation_enthalpy_0k_mev_per_atom": 139, "e_tot_ev_per_atom": -4.97, "dos_at_fermi_per_ev_fu": 11.93}